Entry 1:
# Hf3TiSn

Crystalline Hf3TiSn at its relaxed geometry (PBE, the Alexandria database).

excess energy over the best structure of this formula in the dataset	1.26	eV/f.u.
formation enthalpy at 0 K	0.1881	eV/atom
total magnetic moment	0.000	μB/f.u.
total energy	-8.164	eV/atom
V	114.0	Å³/f.u.
DOS at the Fermi energy	10.8	states/eV per cell

Geometry as CIF:
```
data_Hf3TiSn
_chemical_formula_sum 'Hf6 Ti2 Sn2'
_cell_length_a 4.652
_cell_length_b 6.106
_cell_length_c 8.023
_cell_angle_alpha 90.00
_cell_angle_beta 90.00
_cell_angle_gamma 90.00
_space_group_name_H-M_alt 'P 1'
_space_group_IT_number 1
loop_
_space_group_symop_operation_xyz
'x,y,z'
loop_
_atom_site_label
_atom_site_fract_x
_atom_site_fract_y
_atom_site_fract_z
Hf1 0.750 0.750 0.086
Hf2 0.250 0.987 0.282
Hf3 0.750 0.487 0.718
Hf4 0.250 0.513 0.282
Hf5 0.250 0.250 0.914
Hf6 0.750 0.013 0.718
Ti1 0.750 0.750 0.428
Ti2 0.250 0.250 0.572
Sn1 0.250 0.750 0.857
Sn2 0.750 0.250 0.143
```

---

Entry 2:
# HfTi6Sn2

Crystalline HfTi6Sn2 at its relaxed geometry (PBE, the Alexandria database).

formation enthalpy at 0 K	-0.0511	eV/atom
total magnetic moment	0.005	μB/f.u.
total energy	-7.310	eV/atom
V	170.7	Å³/f.u.
DOS at the Fermi energy	13.2	states/eV per cell

Geometry as CIF:
```
data_HfTi6Sn2
_chemical_formula_sum 'Hf1 Ti6 Sn2'
_cell_length_a 2.920
_cell_length_b 8.093
_cell_length_c 8.408
_cell_angle_alpha 118.77
_cell_angle_beta 100.00
_cell_angle_gamma 90.00
_space_group_name_H-M_alt 'P 1'
_space_group_IT_number 1
loop_
_space_group_symop_operation_xyz
'x,y,z'
loop_
_atom_site_label
_atom_site_fract_x
_atom_site_fract_y
_atom_site_fract_z
Ti1 0.666 0.840 0.332
Ti2 0.500 0.831 0.000
Ti3 0.666 0.492 0.332
Ti4 0.334 0.508 0.668
Ti5 0.334 0.160 0.668
Ti6 0.500 0.169 0.000
Hf1 0.000 0.500 0.000
Sn1 0.843 0.843 0.686
Sn2 0.157 0.157 0.314
```

---

Entry 3:
# Hf2Ti2Sn

Crystalline Hf2Ti2Sn at its relaxed geometry (PBE, the Alexandria database).

excess energy over the best structure of this formula in the dataset	0.80	eV/f.u.
formation enthalpy at 0 K	0.0521	eV/atom
total magnetic moment	0.000	μB/f.u.
total energy	-7.888	eV/atom
V	103.4	Å³/f.u.
DOS at the Fermi energy	3.6	states/eV per cell

Geometry as CIF:
```
data_Hf2Ti2Sn
_chemical_formula_sum 'Hf2 Ti2 Sn1'
_cell_length_a 5.316
_cell_length_b 5.316
_cell_length_c 4.598
_cell_angle_alpha 64.41
_cell_angle_beta 64.41
_cell_angle_gamma 69.23
_space_group_name_H-M_alt 'P 1'
_space_group_IT_number 1
loop_
_space_group_symop_operation_xyz
'x,y,z'
loop_
_atom_site_label
_atom_site_fract_x
_atom_site_fract_y
_atom_site_fract_z
Hf1 0.690 0.690 0.810
Hf2 0.310 0.310 0.190
Ti1 0.288 0.712 0.500
Ti2 0.712 0.288 0.500
Sn1 0.000 0.000 0.000
```

---

Entry 4:
# HfTiSn3

Crystalline HfTiSn3 at its relaxed geometry (PBE, the Alexandria database).

excess energy over the best structure of this formula in the dataset	0.00	eV/f.u.
formation enthalpy at 0 K	0.5993	eV/atom
total magnetic moment	0.000	μB/f.u.
total energy	-5.372	eV/atom
V	139.0	Å³/f.u.
DOS at the Fermi energy	3.4	states/eV per cell

Geometry as CIF:
```
data_HfTiSn3
_chemical_formula_sum 'Hf1 Ti1 Sn3'
_cell_length_a 5.180
_cell_length_b 5.180
_cell_length_c 5.180
_cell_angle_alpha 90.00
_cell_angle_beta 90.00
_cell_angle_gamma 90.00
_space_group_name_H-M_alt 'P 1'
_space_group_IT_number 1
loop_
_space_group_symop_operation_xyz
'x,y,z'
loop_
_atom_site_label
_atom_site_fract_x
_atom_site_fract_y
_atom_site_fract_z
Sn1 0.500 0.000 0.000
Sn2 0.000 0.000 0.500
Sn3 0.000 0.500 0.000
Hf1 0.500 0.500 0.500
Ti1 0.000 0.000 0.000
```

---

Entry 5:
# Hf2TiSn2

Crystalline Hf2TiSn2 at its relaxed geometry (PBE, the Alexandria database).

excess energy over the best structure of this formula in the dataset	1.88	eV/f.u.
formation enthalpy at 0 K	0.1035	eV/atom
total magnetic moment	0.242	μB/f.u.
total energy	-7.058	eV/atom
V	113.0	Å³/f.u.
DOS at the Fermi energy	7.1	states/eV per cell

Geometry as CIF:
```
data_Hf2TiSn2
_chemical_formula_sum 'Hf4 Ti2 Sn4'
_cell_length_a 8.395
_cell_length_b 8.395
_cell_length_c 3.205
_cell_angle_alpha 90.00
_cell_angle_beta 90.00
_cell_angle_gamma 90.00
_space_group_name_H-M_alt 'P 1'
_space_group_IT_number 1
loop_
_space_group_symop_operation_xyz
'x,y,z'
loop_
_atom_site_label
_atom_site_fract_x
_atom_site_fract_y
_atom_site_fract_z
Ti1 0.500 0.500 0.000
Ti2 0.000 0.000 0.000
Sn1 0.673 0.827 0.500
Sn2 0.827 0.327 0.500
Sn3 0.327 0.173 0.500
Sn4 0.173 0.673 0.500
Hf1 0.626 0.126 0.000
Hf2 0.126 0.374 0.000
Hf3 0.874 0.626 0.000
Hf4 0.374 0.874 0.000
```

---

Entry 6:
# HfTi3Sn2

Crystalline HfTi3Sn2 at its relaxed geometry (PBE, the Alexandria database).

excess energy over the best structure of this formula in the dataset	0.34	eV/f.u.
formation enthalpy at 0 K	-0.1228	eV/atom
total magnetic moment	0.000	μB/f.u.
total energy	-7.063	eV/atom
V	118.7	Å³/f.u.
DOS at the Fermi energy	21.6	states/eV per cell

Geometry as CIF:
```
data_HfTi3Sn2
_chemical_formula_sum 'Hf4 Ti12 Sn8'
_cell_length_a 3.073
_cell_length_b 9.058
_cell_length_c 17.058
_cell_angle_alpha 90.00
_cell_angle_beta 90.00
_cell_angle_gamma 90.00
_space_group_name_H-M_alt 'P 1'
_space_group_IT_number 1
loop_
_space_group_symop_operation_xyz
'x,y,z'
loop_
_atom_site_label
_atom_site_fract_x
_atom_site_fract_y
_atom_site_fract_z
Ti1 0.250 0.512 0.925
Ti2 0.750 0.488 0.075
Ti3 0.250 0.457 0.415
Ti4 0.250 0.012 0.575
Ti5 0.750 0.759 0.172
Ti6 0.750 0.988 0.425
Ti7 0.250 0.957 0.085
Ti8 0.750 0.543 0.585
Ti9 0.250 0.741 0.672
Ti10 0.750 0.259 0.328
Ti11 0.250 0.241 0.828
Ti12 0.750 0.043 0.915
Sn1 0.250 0.247 0.009
Sn2 0.250 0.747 0.491
Sn3 0.250 0.976 0.273
Sn4 0.750 0.253 0.509
Sn5 0.750 0.524 0.773
Sn6 0.750 0.024 0.727
Sn7 0.250 0.476 0.227
Sn8 0.750 0.753 0.991
Hf1 0.250 0.813 0.840
Hf2 0.750 0.687 0.340
Hf3 0.750 0.187 0.160
Hf4 0.250 0.313 0.660
```

---

Entry 7:
# Hf7Ti2Sn

Crystalline Hf7Ti2Sn at its relaxed geometry (PBE, the Alexandria database).

formation enthalpy at 0 K	0.7025	eV/atom
total magnetic moment	0.000	μB/f.u.
total energy	-8.244	eV/atom
V	251.0	Å³/f.u.
DOS at the Fermi energy	10.8	states/eV per cell

Geometry as CIF:
```
data_Hf7Ti2Sn
_chemical_formula_sum 'Hf7 Ti2 Sn1'
_cell_length_a 4.777
_cell_length_b 7.724
_cell_length_c 7.724
_cell_angle_alpha 118.28
_cell_angle_beta 90.00
_cell_angle_gamma 90.00
_space_group_name_H-M_alt 'P 1'
_space_group_IT_number 1
loop_
_space_group_symop_operation_xyz
'x,y,z'
loop_
_atom_site_label
_atom_site_fract_x
_atom_site_fract_y
_atom_site_fract_z
Hf1 0.500 0.296 0.062
Hf2 0.500 0.500 0.500
Hf3 0.500 0.938 0.704
Hf4 0.000 0.750 0.250
Hf5 0.000 0.250 0.750
Hf6 0.500 0.704 0.938
Hf7 0.500 0.062 0.296
Ti1 0.500 0.702 0.298
Ti2 0.500 0.298 0.702
Sn1 0.000 0.000 0.000
```

---

Entry 8:
# Hf2Ti8Sn3

Crystalline Hf2Ti8Sn3 at its relaxed geometry (PBE, the Alexandria database).

formation enthalpy at 0 K	0.0936	eV/atom
total magnetic moment	0.003	μB/f.u.
total energy	-7.220	eV/atom
V	257.5	Å³/f.u.
DOS at the Fermi energy	18.6	states/eV per cell

Geometry as CIF:
```
data_Hf2Ti8Sn3
_chemical_formula_sum 'Hf2 Ti8 Sn3'
_cell_length_a 5.422
_cell_length_b 5.422
_cell_length_c 10.586
_cell_angle_alpha 75.16
_cell_angle_beta 75.16
_cell_angle_gamma 60.00
_space_group_name_H-M_alt 'P 1'
_space_group_IT_number 1
loop_
_space_group_symop_operation_xyz
'x,y,z'
loop_
_atom_site_label
_atom_site_fract_x
_atom_site_fract_y
_atom_site_fract_z
Ti1 0.278 0.278 0.679
Ti2 0.276 0.276 0.173
Ti3 0.234 0.722 0.321
Ti4 0.722 0.234 0.321
Ti5 0.722 0.722 0.321
Ti6 0.766 0.278 0.679
Ti7 0.278 0.766 0.679
Ti8 0.724 0.724 0.827
Sn1 0.813 0.813 0.560
Sn2 0.187 0.187 0.440
Sn3 0.000 0.000 0.000
Hf1 0.639 0.639 0.083
Hf2 0.361 0.361 0.917
```

---

Entry 9:
# Hf5Ti5Sn6

Crystalline Hf5Ti5Sn6 at its relaxed geometry (PBE, the Alexandria database).

formation enthalpy at 0 K	-0.4204	eV/atom
total magnetic moment	0.000	μB/f.u.
total energy	-7.499	eV/atom
V	325.6	Å³/f.u.
DOS at the Fermi energy	9.4	states/eV per cell

Geometry as CIF:
```
data_Hf5Ti5Sn6
_chemical_formula_sum 'Hf5 Ti5 Sn6'
_cell_length_a 5.529
_cell_length_b 8.201
_cell_length_c 8.201
_cell_angle_alpha 118.88
_cell_angle_beta 90.00
_cell_angle_gamma 90.00
_space_group_name_H-M_alt 'P 1'
_space_group_IT_number 1
loop_
_space_group_symop_operation_xyz
'x,y,z'
loop_
_atom_site_label
_atom_site_fract_x
_atom_site_fract_y
_atom_site_fract_z
Ti1 0.000 0.254 0.254
Ti2 0.250 0.333 0.670
Ti3 0.250 0.670 0.333
Ti4 0.750 0.670 0.333
Ti5 0.750 0.333 0.670
Hf1 0.500 0.997 0.229
Hf2 0.000 0.763 0.000
Hf3 0.500 0.229 0.997
Hf4 0.000 0.000 0.763
Hf5 0.500 0.755 0.755
Sn1 0.500 0.596 0.000
Sn2 0.500 0.397 0.397
Sn3 0.500 0.000 0.596
Sn4 0.000 0.598 0.598
Sn5 0.000 0.006 0.398
Sn6 0.000 0.398 0.006
```

---

Entry 10:
# Hf8Ti2Sn3

Crystalline Hf8Ti2Sn3 at its relaxed geometry (PBE, the Alexandria database).

formation enthalpy at 0 K	0.2239	eV/atom
total magnetic moment	0.520	μB/f.u.
total energy	-8.040	eV/atom
V	298.2	Å³/f.u.
DOS at the Fermi energy	18.1	states/eV per cell

Geometry as CIF:
```
data_Hf8Ti2Sn3
_chemical_formula_sum 'Hf8 Ti2 Sn3'
_cell_length_a 5.774
_cell_length_b 5.774
_cell_length_c 10.852
_cell_angle_alpha 74.57
_cell_angle_beta 74.57
_cell_angle_gamma 60.00
_space_group_name_H-M_alt 'P 1'
_space_group_IT_number 1
loop_
_space_group_symop_operation_xyz
'x,y,z'
loop_
_atom_site_label
_atom_site_fract_x
_atom_site_fract_y
_atom_site_fract_z
Hf1 0.769 0.277 0.677
Hf2 0.720 0.720 0.840
Hf3 0.723 0.231 0.323
Hf4 0.277 0.277 0.677
Hf5 0.280 0.280 0.160
Hf6 0.723 0.723 0.323
Hf7 0.231 0.723 0.323
Hf8 0.277 0.769 0.677
Ti1 0.633 0.633 0.100
Ti2 0.367 0.367 0.900
Sn1 0.188 0.188 0.435
Sn2 0.812 0.812 0.565
Sn3 0.000 0.000 0.000
```

---

Entry 11:
# HfTi2Sn2

Crystalline HfTi2Sn2 at its relaxed geometry (PBE, the Alexandria database).

excess energy over the best structure of this formula in the dataset	0.00	eV/f.u.
formation enthalpy at 0 K	-0.2922	eV/atom
total magnetic moment	0.000	μB/f.u.
total energy	-7.042	eV/atom
V	99.9	Å³/f.u.
DOS at the Fermi energy	5.3	states/eV per cell

Geometry as CIF:
```
data_HfTi2Sn2
_chemical_formula_sum 'Hf1 Ti2 Sn2'
_cell_length_a 4.026
_cell_length_b 5.190
_cell_length_c 5.567
_cell_angle_alpha 80.24
_cell_angle_beta 68.80
_cell_angle_gamma 67.18
_space_group_name_H-M_alt 'P 1'
_space_group_IT_number 1
loop_
_space_group_symop_operation_xyz
'x,y,z'
loop_
_atom_site_label
_atom_site_fract_x
_atom_site_fract_y
_atom_site_fract_z
Ti1 0.798 0.796 0.609
Ti2 0.202 0.204 0.391
Sn1 0.580 0.615 0.224
Sn2 0.420 0.385 0.776
Hf1 0.000 0.000 0.000
```